<a>
{"formula": "MgUBi2", "functional": "PBE-GGA", "state": "relaxed", "lattice": [[2.1552, 1.2443, 7.5459], [-2.1552, 1.2443, 7.5459], [0.0000, -2.4886, 7.5459]], "species": ["Mg", "U", "Bi", "Bi"], "frac_coords": [[0.0000, 0.0000, 0.0000], [0.1686, 0.1686, 0.1686], [0.4139, 0.4139, 0.4139], [0.5906, 0.5906, 0.5906]], "total_magnetization_mub_per_fu": 2.15, "vol_a3_per_atom": 30.36, "rho_g_cm3": 9.3}

---

<b>
{"formula": "MgUBi2", "functional": "PBE-GGA", "state": "relaxed", "lattice": [[5.1255, 0.0000, 0.0000], [0.0000, 5.1255, 0.0000], [0.0000, 0.0000, 4.1041]], "species": ["Mg", "U", "Bi", "Bi"], "frac_coords": [[0.0000, 0.0000, 0.0000], [0.5000, 0.5000, 0.0000], [0.0000, 0.5000, 0.5000], [0.5000, 0.0000, 0.5000]], "total_magnetization_mub_per_fu": 2.26, "vol_a3_per_atom": 26.95, "rho_g_cm3": 10.5}

---

<c>
{"formula": "MgUBi2", "functional": "PBE-GGA", "state": "relaxed", "lattice": [[4.0454, 0.0000, 0.0000], [0.0000, 4.0454, 0.0000], [0.0000, 0.0000, 6.7909]], "species": ["Mg", "U", "Bi", "Bi"], "frac_coords": [[0.0000, 0.0000, 0.0000], [0.0000, 0.0000, 0.5000], [0.5000, 0.5000, 0.2521], [0.5000, 0.5000, 0.7479]], "total_magnetization_mub_per_fu": 2.97, "vol_a3_per_atom": 27.78, "rho_g_cm3": 10.2}

---

<d>
{"formula": "MgUBi2", "functional": "PBE-GGA", "state": "relaxed", "lattice": [[2.2609, 1.3053, 6.9581], [-2.2609, 1.3053, 6.9581], [0.0000, -2.6106, 6.9581]], "species": ["Mg", "U", "Bi", "Bi"], "frac_coords": [[0.0000, 0.0000, 0.0000], [0.5000, 0.5000, 0.5000], [0.2526, 0.2526, 0.2526], [0.7474, 0.7474, 0.7474]], "total_magnetization_mub_per_fu": 2.01, "vol_a3_per_atom": 30.80, "rho_g_cm3": 9.2}

---

Quick one: most stable of them? <b>